No. 1
Here is an optimized crystal structure of Na2SbTe4Pb from Alexandria. Energies are from GGA-PBE.

Geometry as POSCAR:
```
Na2SbTe4Pb
1.0
-2.257 1.878 -3.287
3.153 -4.899 -4.965
-6.891 -3.328 2.829
Te Na Sb Pb
4 2 1 1
direct
0.000 0.757 0.240
0.000 0.243 0.760
0.500 0.234 0.234
0.500 0.766 0.766
0.500 0.000 0.500
0.000 0.500 0.500
0.000 0.000 0.000
0.500 0.500 0.000
```

=====

No. 2
Here is an optimized crystal structure of Na4Sb3Te8Pb from Alexandria. Energies are from GGA-PBE.

Geometry as POSCAR:
```
Na4Sb3Te8Pb
1.0
-2.151 6.709 5.325
-8.657 -3.185 0.516
6.631 -5.414 2.176
Sb Na Te Pb
3 4 8 1
direct
0.500 0.500 0.500
0.500 0.500 0.000
0.000 0.500 0.500
0.500 0.000 0.500
0.500 0.000 0.000
0.000 0.000 0.000
0.000 0.000 0.500
0.257 0.271 0.514
0.743 0.729 0.486
0.251 0.736 0.501
0.749 0.264 0.499
0.734 0.736 0.985
0.251 0.736 0.985
0.266 0.264 0.015
0.749 0.264 0.015
0.000 0.500 0.000
```

=====

No. 3
Here is an optimized crystal structure of NaSb2TePb from Alexandria. Energies are from GGA-PBE.

Geometry as POSCAR:
```
NaSb2TePb
1.0
5.872 0.000 0.000
0.000 5.872 0.000
0.000 0.000 6.058
Sb Na Te Pb
2 1 1 1
direct
0.500 0.000 0.000
0.000 0.500 0.000
0.500 0.500 0.500
0.000 0.000 0.500
0.000 0.000 0.000
```

=====

No. 4
Here is an optimized crystal structure of NaTl2Sb2Pb from Alexandria. Energies are from GGA-PBE.

Geometry as POSCAR:
```
NaTl2Sb2Pb
1.0
-2.558 0.826 4.485
-0.805 -7.430 0.909
8.402 -0.317 4.850
Sb Tl Na Pb
4 4 2 2
direct
0.000 0.260 0.848
0.000 0.760 0.152
0.500 0.256 0.360
0.500 0.756 0.640
0.000 0.337 0.177
0.500 0.038 0.058
0.500 0.538 0.942
0.000 0.837 0.823
0.000 0.485 0.555
0.000 0.985 0.445
0.500 0.669 0.323
0.500 0.169 0.677
```

=====

The calculation returns the following formation energy from raw total energies values, one per record and in order: -461 -459 458 -111 meV per atom.